Record 1
Below is a geometry-optimized Pr6Nd2Sm2Mg structure, with properties calculated at the PBE level.

Total DFT energy (no corrections): -94.743 eV per cell
Total magnetic moment: 0.000 μB/atom
Theoretical density: 6.12 Mg/m³
DFT formation energy: 0.170 eV per atom

Cell: 6.325 10.709 11.827 Å, 90.00 98.53 90.00°
Space group C2/m (No. 12)
Symmetry-distinct sites (fractional):
Pr 0.241 0.163 0.248 x8
Pr 0.244 0.500 0.253 x4
Nd 0.000 0.174 0.500 x4
Sm 0.000 0.333 0.000 x4
Mg 0.000 0.000 0.000 x2

Record 2
Below is a geometry-optimized CaScAg4 structure, with properties calculated at the PBE level.

Total DFT energy (no corrections): -82.102 eV per cell
Total magnetic moment: 0.000 μB/atom
Theoretical density: 6.70 Mg/m³
DFT formation energy: -0.131 eV per atom

Cell: 7.998 7.998 7.998 Å, 90.00 90.00 90.00°
Space group F-43m (No. 216)
Symmetry-distinct sites (fractional):
Ca 0.000 0.000 0.000 x4
Sc 0.250 0.250 0.750 x4
Ag 0.125 0.125 0.375 x16

Record 3
Below is a geometry-optimized DyErCd4 structure, with properties calculated at the PBE level.

Total DFT energy (no corrections): -57.041 eV per cell
Total magnetic moment: 0.000 μB/atom
Theoretical density: 8.95 Mg/m³
DFT formation energy: -0.239 eV per atom

Cell: 8.333 8.333 8.333 Å, 90.00 90.00 90.00°
Space group F-43m (No. 216)
Symmetry-distinct sites (fractional):
Dy 0.000 0.000 0.000 x4
Er 0.250 0.250 0.750 x4
Cd 0.125 0.125 0.375 x16

Record 4
Below is a geometry-optimized Ca6Tc3O14 structure, with properties calculated at the PBE level.

E_form (uncorrected): -2235 meV per atom
Total DFT energy (no corrections): -163.926 eV per cell
Total magnetic moment: 0.217 μB/atom
Theoretical density: 3.93 Mg/m³

Cell: 8.3434 8.3434 5.3136 Å, 90.00 90.00 120.00°
Space group P3 (No. 143)
Symmetry-distinct sites (fractional):
Ca 0.0093 0.5534 0.0000 x3
Ca 0.2880 0.0884 0.5361 x3
Tc 0.0000 0.0000 0.9887 x1
Tc 0.3333 0.6667 0.4510 x1
Tc 0.6667 0.3333 0.3741 x1
O 0.0000 0.0000 0.3337 x1
O 0.0732 0.8524 0.8196 x3
O 0.2005 0.4413 0.3038 x3
O 0.3333 0.6667 0.7948 x1
O 0.4443 0.1964 0.1571 x3
O 0.5309 0.4197 0.5890 x3

Record 5
Below is a geometry-optimized Cr2TeRu structure, with properties calculated at the PBE level.

E_form (uncorrected): 437 meV per atom
Total DFT energy (no corrections): -59.835 eV per cell
Total magnetic moment: 1.224 μB/atom
Theoretical density: 8.90 Mg/m³

Cell: 5.443 7.419 3.076 Å, 90.00 90.00 90.00°
Space group Cmmm (No. 65)
Symmetry-distinct sites (fractional):
Cr 0.250 0.250 0.000 x4
Te 0.000 0.000 0.500 x2
Ru 0.000 0.500 0.500 x2

Record 6
Below is a geometry-optimized Ba2MgNbCr structure, with properties calculated at the PBE level.

Total DFT energy (no corrections): -18.992 eV per cell
Total magnetic moment: 0.026 μB/atom
Theoretical density: 3.64 Mg/m³
DFT formation energy: 1.228 eV per atom

Cell: 6.196 6.196 5.266 Å, 90.00 90.00 90.00°
Space group P4/mmm (No. 123)
Symmetry-distinct sites (fractional):
Ba 0.000 0.500 0.000 x2
Mg 0.000 0.000 0.500 x1
Nb 0.500 0.500 0.500 x1
Cr 0.000 0.000 0.000 x1